Entry 1:
Here is a PBEsol-optimized structure of LuB2Ru3 from the Alexandria database. Energies are from meta-GGA SCAN.

Cell: 2.982 5.414 5.414 Å, 120.00 90.00 90.00°
Fractional positions:
B 0.000 0.333 0.667
Ru 0.500 0.500 0.000
Ru 0.500 0.500 0.500
B 0.000 0.667 0.333
Ru 0.500 0.000 0.500
Lu 0.000 0.000 0.000

SG = P6/mmm (191)
ΔE_f = -3.4 eV/f.u.
VASP energy = -29.6740 eV per atom



Entry 2:
Here is a PBEsol-optimized structure of Lu2B6Ru from the Alexandria database. Energies are from meta-GGA SCAN.

Cell: 3.543 8.960 11.307 Å, 90.00 90.00 90.00°
Fractional positions:
B 0.500 0.208 0.735
B 0.500 0.946 0.934
B 0.500 0.446 0.566
B 0.500 0.749 0.421
Lu 0.000 0.679 0.586
B 0.500 0.869 0.684
B 0.500 0.708 0.765
Lu 0.000 0.057 0.628
B 0.500 0.054 0.066
B 0.500 0.792 0.265
Lu 0.000 0.443 0.128
B 0.500 0.105 0.471
B 0.500 0.519 0.713
B 0.500 0.369 0.816
Lu 0.000 0.943 0.372
Lu 0.000 0.821 0.086
B 0.500 0.751 0.921
B 0.500 0.019 0.787
Ru 0.000 0.138 0.179
B 0.500 0.292 0.235
B 0.500 0.395 0.971
B 0.500 0.605 0.029
Lu 0.000 0.179 0.914
B 0.500 0.251 0.579
B 0.500 0.554 0.434
B 0.500 0.249 0.079
Lu 0.000 0.557 0.872
B 0.500 0.631 0.184
B 0.500 0.131 0.316
Ru 0.000 0.862 0.821
Ru 0.000 0.362 0.679
Ru 0.000 0.638 0.321
B 0.500 0.895 0.529
B 0.500 0.481 0.287
Lu 0.000 0.321 0.414
B 0.500 0.981 0.213

SG = Pbam (55)
ΔE_f = -7.5 eV/f.u.
VASP energy = -21.9553 eV per atom



Entry 3:
Here is a PBEsol-optimized structure of LuB4Ru from the Alexandria database. Energies are from meta-GGA SCAN.

Cell: 3.465 5.872 11.351 Å, 90.00 90.00 90.00°
Fractional positions:
B 0.500 0.708 0.686
B 0.500 0.865 0.030
Ru 0.000 0.641 0.093
B 0.500 0.135 0.970
B 0.500 0.387 0.048
Ru 0.000 0.859 0.593
Lu 0.000 0.371 0.650
B 0.500 0.113 0.548
B 0.500 0.477 0.193
B 0.500 0.523 0.807
Lu 0.000 0.629 0.350
B 0.500 0.208 0.814
B 0.500 0.887 0.452
B 0.500 0.365 0.470
Ru 0.000 0.141 0.407
B 0.500 0.023 0.693
B 0.500 0.792 0.186
B 0.500 0.292 0.314
Lu 0.000 0.129 0.150
B 0.500 0.977 0.307
B 0.500 0.613 0.952
Ru 0.000 0.359 0.907
Lu 0.000 0.871 0.850
B 0.500 0.635 0.530

SG = Pbam (55)
ΔE_f = -4.4 eV/f.u.
VASP energy = -20.7179 eV per atom



Entry 4:
Here is a PBEsol-optimized structure of Lu9B5S21 from the Alexandria database. Energies are from meta-GGA SCAN.

Cell: 10.827 10.827 10.827 Å, 94.27 94.27 94.27°
Fractional positions:
S 0.518 0.355 0.255
B 0.582 0.916 0.264
S 0.547 0.640 0.413
Lu 0.528 0.371 0.760
S 0.469 0.801 0.156
S 0.081 0.218 0.308
B 0.022 0.022 0.022
S 0.425 0.518 0.947
S 0.345 0.225 0.824
S 0.413 0.547 0.640
Lu 0.060 0.447 0.209
S 0.020 0.927 0.154
B 0.762 0.420 0.079
Lu 0.926 0.538 0.756
S 0.204 0.606 0.079
B 0.420 0.079 0.762
S 0.518 0.947 0.425
S 0.821 0.693 0.593
Lu 0.421 0.553 0.194
S 0.857 0.296 0.744
S 0.653 0.304 0.967
S 0.801 0.156 0.469
Lu 0.756 0.926 0.538
S 0.738 0.891 0.002
Lu 0.869 0.721 0.080
S 0.218 0.308 0.081
S 0.355 0.255 0.518
Lu 0.553 0.194 0.421
Lu 0.078 0.236 0.847
S 0.891 0.002 0.738
S 0.927 0.154 0.020
S 0.225 0.824 0.345
Lu 0.447 0.209 0.060
Lu 0.080 0.869 0.721
S 0.006 0.910 0.479
S 0.910 0.479 0.006
B 0.916 0.264 0.582
B 0.523 0.523 0.523
S 0.640 0.413 0.547
S 0.593 0.821 0.693
S 0.304 0.967 0.653
S 0.308 0.081 0.218
S 0.154 0.020 0.927
S 0.744 0.857 0.296
S 0.002 0.738 0.891
Lu 0.371 0.760 0.528
Lu 0.194 0.421 0.553
Lu 0.721 0.080 0.869
S 0.606 0.079 0.204
S 0.682 0.568 0.134
B 0.264 0.582 0.916
Lu 0.847 0.078 0.236
S 0.693 0.593 0.821
S 0.296 0.744 0.857
S 0.824 0.345 0.225
S 0.947 0.425 0.518
Lu 0.236 0.847 0.078
S 0.479 0.006 0.910
S 0.568 0.134 0.682
Lu 0.760 0.528 0.371
B 0.079 0.762 0.420
B 0.699 0.699 0.699
S 0.967 0.653 0.304
S 0.134 0.682 0.568
Lu 0.209 0.060 0.447
B 0.198 0.198 0.198
Lu 0.538 0.756 0.926
S 0.156 0.469 0.801
S 0.255 0.518 0.355
S 0.079 0.204 0.606

SG = R3 (146)
Formation energy without anion corrections = -1.64 eV/atom
VASP energy = -22.7050 eV per atom



Entry 5:
Here is a PBEsol-optimized structure of MgB7 from the Alexandria database. Energies are from meta-GGA SCAN.

Cell: 5.953 7.229 7.229 Å, 67.92 65.69 65.69°
Fractional positions:
B 0.175 0.033 0.123
Mg 0.500 0.000 0.500
B 0.092 0.400 0.727
Mg 0.750 0.387 0.113
Mg 0.250 0.613 0.887
B 0.592 0.227 0.900
B 0.831 0.377 0.467
B 0.325 0.377 0.467
B 0.166 0.358 0.310
B 0.825 0.967 0.877
B 0.858 0.027 0.257
B 0.142 0.973 0.743
B 0.418 0.906 0.259
B 0.834 0.642 0.690
B 0.082 0.241 0.594
B 0.918 0.759 0.406
B 0.781 0.400 0.727
Mg 0.000 0.000 0.500
B 0.219 0.600 0.273
B 0.358 0.757 0.527
B 0.666 0.810 0.858
B 0.669 0.033 0.123
B 0.281 0.227 0.900
B 0.642 0.243 0.473
B 0.582 0.094 0.741
B 0.169 0.623 0.533
B 0.908 0.600 0.273
B 0.334 0.190 0.142
B 0.408 0.773 0.100
B 0.675 0.623 0.533
B 0.331 0.967 0.877
B 0.719 0.773 0.100

SG = Imma (74)
ΔE_f = -1.4 eV/f.u.
VASP energy = -7.2967 eV per atom



Entry 6:
Here is a PBEsol-optimized structure of MgMnB3 from the Alexandria database. Energies are from meta-GGA SCAN.

Cell: 3.779 3.779 3.779 Å, 90.00 90.00 90.00°
Fractional positions:
B 0.500 0.000 0.000
B 0.000 0.500 0.000
B 0.000 0.000 0.500
Mn 0.000 0.000 0.000
Mg 0.500 0.500 0.500

SG = Pm-3m (221)
ΔE_f = 2.3 eV/f.u.
VASP energy = -8.6399 eV per atom



Entry 7:
Here is a PBEsol-optimized structure of Mg2MnNiB from the Alexandria database. Energies are from meta-GGA SCAN.

Cell: 4.355 4.606 4.606 Å, 90.00 90.00 90.00°
Site moments in Bohr magnetons follow the coordinates.
Fractional positions:
Mn 0.500 0.000 0.000  4.06
Ni 0.000 0.000 0.000  0.32
B 0.500 0.500 0.500  -0.05
Mg 0.000 0.500 0.000  -0.02
Mg 0.000 0.000 0.500  -0.02

SG = P4/mmm (123)
ΔE_f = 4.8 eV/f.u.
VASP energy = -9.3934 eV per atom



Entry 8:
Here is a PBEsol-optimized structure of SrMgBMo2 from the Alexandria database. Energies are from meta-GGA SCAN.

Cell: 4.630 4.820 4.820 Å, 90.00 90.00 90.00°
Site moments in Bohr magnetons follow the coordinates.
Fractional positions:
Sr 0.000 0.000 0.000  0.04
Mo 0.000 0.000 0.500  1.97
Mg 0.500 0.500 0.500  -0.01
Mo 0.000 0.500 0.000  1.97
B 0.500 0.000 0.000  -0.12

SG = P4/mmm (123)
ΔE_f = 15.0 eV/f.u.
VASP energy = -17.8931 eV per atom



Volume values, unit Å³ per atom, following the record order: 12.6, 10.0, 9.6, 18.0, 7.8, 10.8, 18.5, 21.5.